VASP calculation (PBE) on a relaxed structure of Dy2GaHg3.

## Properties
The energy comes out at -0.0962 hartree per atom. For the formation energy, the calculation gives -0.43 eV per atom. The density of states at the Fermi level comes out at 0.6998 states/eV per atom.

a = 5.9493 Å, b = 5.9493 Å, c = 9.0545 Å
α = 103.30°, β = 103.30°, γ = 107.44°
Element x y z (fractional)
Hg: 0.3437 0.8269 0.1706
Hg: 0.8296 0.8296 0.6591
Hg: 0.1704 0.1704 0.3409
Hg: 0.1731 0.6563 0.8294
Hg: 0.8269 0.3437 0.1706
Hg: 0.6563 0.1731 0.8294
Ga: 0.6674 0.6674 0.3349
Ga: 0.3326 0.3326 0.6651
Dy: 0.7546 0.7546 0.0000
Dy: 0.2454 0.2454 0.0000
Dy: 0.7500 0.2500 0.5000
Dy: 0.2500 0.7500 0.5000